1.
A plane-wave DFT calculation with PBE was carried out for a relaxed structure of TbHo2In3Ni3.

POSCAR file:
```
TbHo2In3Ni3
1.0
-3.5862 1.2496 -0.2260
-1.8668 -6.0581 -3.8744
-0.4810 -0.0397 7.4137
Ho In Ni Tb
2 3 3 1
Direct
0.0000 0.4107 0.0000 Ho
0.0000 0.0000 0.4107 Ho
0.5000 0.7447 0.0007 In
0.5000 0.2547 0.2547 In
0.5000 0.0007 0.7447 In
0.0000 0.0005 0.0005 Ni
0.5000 0.6670 0.3328 Ni
0.5000 0.3328 0.6670 Ni
0.0000 0.5890 0.5890 Tb
```

volume = 181.9 Å³ per cell
total energy = -43.32 eV for the cell shown


2.
A plane-wave DFT calculation with PBE was carried out for a relaxed structure of Li8TlCd2.

POSCAR file:
```
Li8TlCd2
1.0
3.9774 -2.2970 0.0000
3.9774 2.2970 0.0000
-2.6351 0.0000 10.3580
Cd Li Tl
2 8 1
Direct
0.4531 0.4531 0.3586 Cd
0.5469 0.5469 0.6414 Cd
0.3632 0.3632 0.0893 Li
0.7288 0.7288 0.1863 Li
0.0897 0.0897 0.2692 Li
0.8205 0.8205 0.4612 Li
0.1795 0.1795 0.5388 Li
0.9103 0.9103 0.7308 Li
0.2712 0.2712 0.8137 Li
0.6368 0.6368 0.9107 Li
0.0000 0.0000 0.0000 Tl
```

volume = 189.3 Å³ per cell
total energy = -21.62 eV for the cell shown


3.
A plane-wave DFT calculation with PBE was carried out for a relaxed structure of GdNiSb.

POSCAR file:
```
GdNiSb
1.0
-4.7879 1.6969 4.9357
-1.9987 -3.5258 -5.8085
0.7532 -3.7606 2.0236
Gd Ni Sb
3 3 3
Direct
0.5769 0.0000 0.0000 Gd
0.4231 0.4231 0.0000 Gd
0.0000 0.5769 0.0000 Gd
0.2466 0.0000 0.5000 Ni
0.0000 0.2466 0.5000 Ni
0.7534 0.7534 0.5000 Ni
0.0000 0.0000 0.0000 Sb
0.6667 0.3333 0.5000 Sb
0.3333 0.6667 0.5000 Sb
```

volume = 188.4 Å³ per cell
total energy = -49.36 eV for the cell shown


4.
A plane-wave DFT calculation with PBE was carried out for a relaxed structure of Ga2Cu5Ni.

POSCAR file:
```
Ga2Cu5Ni
1.0
-3.9767 -0.9735 0.3207
0.2156 -2.0507 -3.5514
1.4180 -4.8429 2.8826
Cu Ga Ni
5 2 1
Direct
0.5000 0.0000 0.2498 Cu
0.0000 0.5000 0.2498 Cu
0.0000 0.0000 0.5000 Cu
0.5000 0.0000 0.7502 Cu
0.0000 0.5000 0.7502 Cu
0.0000 0.0000 0.0000 Ga
0.5000 0.5000 0.5000 Ga
0.5000 0.5000 0.0000 Ni
```

volume = 98.0 Å³ per cell
total energy = -30.94 eV for the cell shown


5.
A plane-wave DFT calculation with PBE was carried out for a relaxed structure of GdMgZn.

POSCAR file:
```
GdMgZn
1.0
-2.0791 -4.4319 0.9471
2.4770 2.4108 3.5937
-8.1928 4.4170 2.6838
Gd Mg Zn
3 3 3
Direct
0.6667 0.3333 0.0663 Gd
0.3333 0.6667 0.2321 Gd
0.3333 0.6667 0.8338 Gd
0.6667 0.3333 0.4220 Mg
0.0000 0.0000 0.6154 Mg
0.0000 0.0000 0.9767 Mg
0.0000 0.0000 0.2903 Zn
0.3333 0.6667 0.5343 Zn
0.6667 0.3333 0.7337 Zn
```

volume = 208.6 Å³ per cell
total energy = -23.14 eV for the cell shown


6.
A plane-wave DFT calculation with PBE was carried out for a relaxed structure of Nd2DyO4.

POSCAR file:
```
Nd2DyO4
1.0
4.9210 -4.9222 0.0000
-4.9210 0.0000 -4.9222
4.9210 4.9222 0.0000
Dy Nd O
2 4 8
Direct
0.0000 0.0000 0.0000 Dy
0.7500 0.5000 0.2500 Dy
0.3750 0.7500 0.1250 Nd
0.8750 0.2500 0.6250 Nd
0.3750 0.7500 0.6250 Nd
0.3750 0.2500 0.6250 Nd
0.6232 0.2466 0.3766 O
0.1300 0.7534 0.3766 O
0.6234 0.7534 0.3768 O
0.1266 0.2534 0.3800 O
0.6234 0.2466 0.8700 O
0.1266 0.7466 0.8732 O
0.1268 0.2534 0.8734 O
0.6200 0.7466 0.8734 O
```

volume = 238.5 Å³ per cell
total energy = -111.23 eV for the cell shown


7.
A plane-wave DFT calculation with PBE was carried out for a relaxed structure of Sr2NbTcS6.

POSCAR file:
```
Sr2NbTcS6
1.0
-6.0703 -0.5536 -2.6450
-0.5924 -3.0873 -5.9058
-2.8909 -6.0473 -0.2493
Nb S Sr Tc
1 6 2 1
Direct
0.0000 0.0000 0.5000 Nb
0.8097 0.2889 0.1868 S
0.3382 0.1666 0.2541 S
0.2198 0.6915 0.3026 S
0.7802 0.3085 0.6974 S
0.6618 0.8334 0.7459 S
0.1903 0.7111 0.8132 S
0.7593 0.7349 0.2532 Sr
0.2407 0.2651 0.7468 Sr
0.5000 0.5000 0.0000 Tc
```

volume = 216.9 Å³ per cell
total energy = -59.90 eV for the cell shown


8.
A plane-wave DFT calculation with PBE was carried out for a relaxed structure of BiB4Mo.

POSCAR file:
```
BiB4Mo
1.0
3.6785 0.1728 3.3133
-1.9748 3.0095 3.4033
-0.4462 -4.4644 -2.0999
B Bi Mo
4 1 1
Direct
0.5792 0.2417 0.3376 B
0.0959 0.7583 0.3376 B
0.9041 0.2417 0.6624 B
0.4208 0.7583 0.6624 B
0.0000 0.0000 0.0000 Bi
0.5000 0.5000 0.0000 Mo
```

distance to the lowest polymorph of the same formula = 389 meV per atom
volume = 65.3 Å³ per cell


9.
A plane-wave DFT calculation with PBE was carried out for a relaxed structure of YGa2Pt2.

POSCAR file:
```
YGa2Pt2
1.0
-2.9503 -1.8004 5.4127
-5.1526 2.7478 2.6726
2.3376 -2.2153 -5.5561
Ga Pt Y
2 2 1
Direct
0.7500 0.2500 0.5000 Ga
0.2500 0.7500 0.5000 Ga
0.3844 0.3844 0.0000 Pt
0.6156 0.6156 0.0000 Pt
0.0000 0.0000 0.0000 Y
```

volume = 94.9 Å³ per cell
total energy = -29.22 eV for the cell shown


10.
A plane-wave DFT calculation with PBE was carried out for a relaxed structure of Nb2Cd2Co.

POSCAR file:
```
Nb2Cd2Co
1.0
-3.4583 -3.5019 0.4042
7.9983 -7.3334 4.8994
-0.7370 1.0478 2.7715
Cd Co Nb
4 2 4
Direct
0.5063 0.1154 0.0000 Cd
0.0063 0.3846 0.0000 Cd
0.9937 0.6154 0.0000 Cd
0.4937 0.8846 0.0000 Cd
0.0000 0.0000 0.0000 Co
0.5000 0.5000 0.0000 Co
0.0066 0.1687 0.5000 Nb
0.5066 0.3313 0.5000 Nb
0.4934 0.6687 0.5000 Nb
0.9934 0.8313 0.5000 Nb
```

volume = 179.5 Å³ per cell
calculated formation energy = 0.298 eV/atom


11.
A plane-wave DFT calculation with PBE was carried out for a relaxed structure of AlFeW4N2.

POSCAR file:
```
AlFeW4N2
1.0
2.8223 0.0000 0.0000
-1.4111 2.4442 0.0000
0.0000 0.0000 14.6317
Al Fe N W
1 1 2 4
Direct
0.0000 0.0000 0.0000 Al
0.3333 0.6667 0.5000 Fe
0.6667 0.3333 0.2534 N
0.6667 0.3333 0.7466 N
0.3333 0.6667 0.1553 W
0.0000 0.0000 0.3545 W
0.0000 0.0000 0.6455 W
0.3333 0.6667 0.8447 W
```

volume = 100.9 Å³ per cell
total energy = -79.75 eV for the cell shown


12.
A plane-wave DFT calculation with PBE was carried out for a relaxed structure of Ba3Zn6Si4TeO20.

POSCAR file:
```
Ba3Zn6Si4TeO20
1.0
1.5273 0.0000 -4.9144
-7.9564 -5.7687 -0.0124
-7.9564 5.7687 -0.0124
Ba O Si Te Zn
3 20 4 1 6
Direct
0.7539 0.2135 0.2135 Ba
0.0000 0.5000 0.5000 Ba
0.2461 0.7865 0.7865 Ba
0.1067 0.8095 0.0458 O
0.3695 0.0705 0.0705 O
0.3471 0.3821 0.1173 O
0.5535 0.6367 0.1866 O
0.8933 0.9542 0.1905 O
0.0347 0.4936 0.2238 O
0.4465 0.8134 0.3633 O
0.3471 0.1173 0.3821 O
0.4676 0.3927 0.3927 O
0.0347 0.2238 0.4936 O
0.9653 0.7762 0.5064 O
0.5324 0.6073 0.6073 O
0.6529 0.8827 0.6179 O
0.5535 0.1866 0.6367 O
0.9653 0.5064 0.7762 O
0.1067 0.0458 0.8095 O
0.4465 0.3633 0.8134 O
0.6529 0.6179 0.8827 O
0.6305 0.9295 0.9295 O
0.8933 0.1905 0.9542 O
0.3443 0.4817 0.2207 Si
0.3443 0.2207 0.4817 Si
0.6557 0.7793 0.5183 Si
0.6557 0.5183 0.7793 Si
0.0000 0.0000 0.0000 Te
0.8263 0.6343 0.0766 Zn
0.5000 0.8457 0.1543 Zn
0.1737 0.9234 0.3657 Zn
0.8263 0.0766 0.6343 Zn
0.5000 0.1543 0.8457 Zn
0.1737 0.3657 0.9234 Zn
```

volume = 451.3 Å³ per cell
total energy = -212.39 eV for the cell shown